# NbOsN3

A relaxed structure of NbOsN3 (PBE, Alexandria).

Summary:
size of the total moment = 0.0 μB per cell
electronic total energy = -8.37 eV per atom
N(E_F) = 0.83 states/eV per atom

abc: 3.8299 3.8299 3.8299
angles: 90.00 90.00 90.00
With the nearest neighbours (Å) after each atom.
Fractional positions:
Nb 0.5000 0.5000 0.5000  12 N 2.71
Os 0.0000 0.0000 0.0000  6 N 1.91
N 0.0000 0.5000 0.0000  2 Os 1.91
N 0.0000 0.0000 0.5000  2 Os 1.91
N 0.5000 0.0000 0.0000  2 Os 1.91

# BaBiSO2

A relaxed structure of BaBiSO2 (PBE, Alexandria).

Summary:
size of the total moment = 0.9 μB per cell
electronic total energy = -4.10 eV per atom
N(E_F) = 1.19 states/eV per atom

abc: 4.3804 9.3088 4.3804
angles: 90.00 90.00 90.00
With the nearest neighbours (Å) after each atom.
Fractional positions:
S 0.5000 0.5000 0.5000  4 Bi 3.10
Bi 0.0000 0.5000 0.0000  4 S 3.10
O 0.0000 0.0000 0.5000  2 Ba 2.19
O 0.5000 0.0000 0.0000  2 Ba 2.19
Ba 0.0000 0.0000 0.0000  4 O 2.19

# InWBr2

A relaxed structure of InWBr2 (PBE, Alexandria).

Summary:
size of the total moment = 0.0 μB per cell
distance to the lowest polymorph of the same formula = 0.427 eV/atom
electronic total energy = -4.21 eV per atom
N(E_F) = 0.82 states/eV per atom

abc: 7.5693 7.5693 7.5693
angles: 156.28 143.36 44.12
With the nearest neighbours (Å) after each atom.
Fractional positions:
Br 0.0886 0.0886 0.0000  2 W 2.58
Br 0.7605 0.2605 0.5000  4 W 2.87, 2 Br 3.11
W 0.2350 0.7350 0.5000  6 Br 2.58-2.87
In 0.4160 0.4160 0.0000  2 W 2.98, 2 In 3.11, 2 Br 3.23

# PuSiP2

A relaxed structure of PuSiP2 (PBE, Alexandria).

Summary:
size of the total moment = 4.0 μB per cell
distance to the lowest polymorph of the same formula = 0.000 eV/atom
electronic total energy = -8.09 eV per atom
N(E_F) = 1.63 states/eV per atom

abc: 3.7419 4.1516 4.1516
angles: 90.00 90.00 90.00
With the nearest neighbours (Å) after each atom.
Fractional positions:
P 0.0000 0.0000 0.5000  4 Pu 2.79, 4 Si 2.79, 4 P 2.94
P 0.0000 0.5000 0.0000  4 Pu 2.79, 4 Si 2.79, 4 P 2.94
Si 0.5000 0.0000 0.0000  8 P 2.79, 4 Pu 2.94
Pu 0.5000 0.5000 0.5000  8 P 2.79, 4 Si 2.94

# LiAc2IrN2

A relaxed structure of LiAc2IrN2 (PBE, Alexandria).

Summary:
size of the total moment = 0.0 μB per cell
electronic total energy = -6.46 eV per atom
N(E_F) = 0.14 states/eV per atom

abc: 4.2243 6.8678 7.8271
angles: 90.00 90.00 90.00
With the nearest neighbours (Å) after each atom.
Fractional positions:
Li 0.5000 0.5000 0.0000  4 N 2.64
Li 0.0000 0.0000 0.5000  4 N 2.64
Ac 0.5000 0.1359 0.2522  4 N 2.61-2.73
Ac 0.0000 0.6359 0.2478  4 N 2.61-2.73
Ac 0.5000 0.8641 0.7478  4 N 2.61-2.73
Ac 0.0000 0.3641 0.7522  4 N 2.61-2.73
Ir 0.0000 0.0000 0.0000  2 N 2.17
Ir 0.5000 0.5000 0.5000  2 N 2.17
N 0.5000 0.7970 0.4039  1 Ir 2.17
N 0.5000 0.2030 0.5961  1 Ir 2.17
N 0.0000 0.7030 0.9039  1 Ir 2.17
N 0.0000 0.2970 0.0961  1 Ir 2.17

# InGa2Pb

A relaxed structure of InGa2Pb (PBE, Alexandria).

Summary:
size of the total moment = 0.0 μB per cell
distance to the lowest polymorph of the same formula = 0.014 eV/atom
electronic total energy = -3.07 eV per atom
N(E_F) = 0.35 states/eV per atom

abc: 3.9369 4.9901 4.9901
angles: 90.00 90.00 90.00
With the nearest neighbours (Å) after each atom.
Fractional positions:
Pb 0.5000 0.5000 0.5000  8 Ga 3.18, 4 In 3.53
Ga 0.0000 0.0000 0.5000  4 In 3.18, 4 Pb 3.18, 4 Ga 3.53
Ga 0.0000 0.5000 0.0000  4 Pb 3.18, 4 In 3.18, 4 Ga 3.53
In 0.5000 0.0000 0.0000  8 Ga 3.18, 4 Pb 3.53

# RuPtCl

A relaxed structure of RuPtCl (PBE, Alexandria).

Summary:
size of the total moment = 0.0 μB per cell
distance to the lowest polymorph of the same formula = 0.049 eV/atom
electronic total energy = -5.28 eV per atom
N(E_F) = 1.36 states/eV per atom

abc: 7.4749 7.1652 2.9053
angles: 84.62 72.62 22.77
With the nearest neighbours (Å) after each atom.
Fractional positions:
Cl 0.0232 0.0232 0.9768  2 Ru 2.35
Pt 0.3191 0.3191 0.6809  2 Ru 2.67, 6 Pt 2.79-2.91
Ru 0.6577 0.6577 0.3423  2 Cl 2.35

# Pr2TlSn2Rh5

A relaxed structure of Pr2TlSn2Rh5 (PBE, Alexandria).

Summary:
size of the total moment = 0.0 μB per cell
electronic total energy = -6.12 eV per atom
N(E_F) = 0.41 states/eV per atom

abc: 3.7812 10.3737 10.3737
angles: 90.00 90.00 90.00
With the nearest neighbours (Å) after each atom.
Fractional positions:
Pr 0.0000 0.6732 0.1732  3 Sn 2.96-3.13, 2 Rh 3.17
Pr 0.0000 0.3268 0.8268  3 Sn 2.96-3.13, 2 Rh 3.17
Pr 0.0000 0.1732 0.3268  3 Sn 2.96-3.13, 2 Rh 3.17
Pr 0.0000 0.8268 0.6732  3 Sn 2.96-3.13, 2 Rh 3.17
Tl 0.0000 0.0000 0.0000  8 Rh 2.93
Tl 0.0000 0.5000 0.5000  8 Rh 2.93
Sn 0.0000 0.1250 0.6250  6 Rh 2.63-2.66
Sn 0.0000 0.8750 0.3750  6 Rh 2.63-2.66
Sn 0.0000 0.6250 0.8750  6 Rh 2.63-2.66
Sn 0.0000 0.3750 0.1250  6 Rh 2.63-2.66
Rh 0.5000 0.2063 0.0612  2 Sn 2.66, 2 Tl 2.93
Rh 0.5000 0.7937 0.9388  2 Sn 2.66, 2 Tl 2.93
Rh 0.5000 0.0612 0.7937  2 Sn 2.66, 2 Tl 2.93
Rh 0.5000 0.7063 0.4388  2 Sn 2.66, 2 Tl 2.93
Rh 0.5000 0.9388 0.2063  2 Sn 2.66, 2 Tl 2.93
Rh 0.5000 0.2937 0.5612  2 Sn 2.66, 2 Tl 2.93
Rh 0.5000 0.5612 0.7063  2 Sn 2.66, 2 Tl 2.93
Rh 0.5000 0.4388 0.2937  2 Sn 2.66, 2 Tl 2.93
Rh 0.5000 0.5000 0.0000  4 Sn 2.63
Rh 0.5000 0.0000 0.5000  4 Sn 2.63

# Li5PdPt

A relaxed structure of Li5PdPt (PBE, Alexandria).

Summary:
size of the total moment = 0.0 μB per cell
distance to the lowest polymorph of the same formula = 0.000 eV/atom
electronic total energy = -3.30 eV per atom
N(E_F) = 0.31 states/eV per atom

abc: 6.4404 6.4404 9.5767
angles: 52.20 52.20 46.17
With the nearest neighbours (Å) after each atom.
Fractional positions:
Li 0.7944 0.7372 0.0464  1 Pd 2.51, 5 Li 2.53-2.79, 2 Pt 2.55-2.61
Li 0.3553 0.3591 0.6133  3 Li 2.53-2.73, 1 Pd 2.81
Li 0.7372 0.7944 0.5464  1 Pd 2.51, 5 Li 2.53-2.79, 2 Pt 2.55-2.61
Li 0.2307 0.7693 0.2500  2 Pt 2.49-2.56, 2 Li 2.64, 2 Pd 2.66
Li 0.6409 0.6447 0.8867  3 Li 2.53-2.73, 1 Pd 2.81
Li 0.3591 0.3553 0.1133  3 Li 2.53-2.73, 1 Pd 2.81
Li 0.7693 0.2307 0.7500  2 Pt 2.49-2.56, 2 Li 2.64, 2 Pd 2.66
Li 0.2628 0.2056 0.4536  1 Pd 2.51, 5 Li 2.53-2.79, 2 Pt 2.55-2.61
Li 0.6447 0.6409 0.3867  3 Li 2.53-2.73, 1 Pd 2.81
Li 0.2056 0.2628 0.9536  1 Pd 2.51, 5 Li 2.53-2.79, 2 Pt 2.55-2.61
Pd 0.0000 0.0000 0.0000  4 Li 2.51-2.66, 2 Pt 2.77
Pd 0.0000 0.0000 0.5000  4 Li 2.51-2.66, 2 Pt 2.77
Pt 0.7241 0.2759 0.2500  6 Li 2.49-2.61, 2 Pd 2.77
Pt 0.2759 0.7241 0.7500  6 Li 2.49-2.61, 2 Pd 2.77

# LiTa2MoBr

A relaxed structure of LiTa2MoBr (PBE, Alexandria).

Summary:
size of the total moment = 0.0 μB per cell
electronic total energy = -6.20 eV per atom
N(E_F) = 0.78 states/eV per atom

abc: 4.6932 3.8830 4.6932
angles: 90.00 90.00 90.00
With the nearest neighbours (Å) after each atom.
Fractional positions:
Mo 0.5000 0.5000 0.5000  8 Ta 3.05, 4 Br 3.32
Li 0.0000 0.0000 0.0000  2 Br 1.94
Br 0.0000 0.5000 0.0000  2 Li 1.94
Ta 0.0000 0.0000 0.5000  2 Li 2.35
Ta 0.5000 0.0000 0.0000  2 Li 2.35

# K3NaC2O6

A relaxed structure of K3NaC2O6 (PBE, Alexandria).

Summary:
size of the total moment = 0.0 μB per cell
electronic total energy = -6.16 eV per atom
N(E_F) = 0.00 states/eV per atom

abc: 5.6336 5.6336 6.8374
angles: 90.00 90.00 120.00
With the nearest neighbours (Å) after each atom.
Fractional positions:
K 0.3333 0.6667 0.7088  6 O 2.84, 1 C 2.97
K 0.6667 0.3333 0.2912  6 O 2.84, 1 C 2.97
K 0.0000 0.0000 0.0000  6 O 2.71
Na 0.0000 0.0000 0.5000  6 O 2.48
C 0.6667 0.3333 0.7249  3 O 1.31
C 0.3333 0.6667 0.2751  3 O 1.31
O 0.6009 0.8004 0.2765  1 C 1.31
O 0.1995 0.3991 0.2765  1 C 1.31
O 0.1995 0.8004 0.2765  1 C 1.31
O 0.8005 0.6009 0.7235  1 C 1.31
O 0.3991 0.1996 0.7235  1 C 1.31
O 0.8005 0.1996 0.7235  1 C 1.31

# La4PtSe

A relaxed structure of La4PtSe (PBE, Alexandria).

Summary:
size of the total moment = 0.0 μB per cell
electronic total energy = -4.85 eV per atom
N(E_F) = 1.24 states/eV per atom

abc: 6.2236 6.2236 6.2236
angles: 60.00 60.00 60.00
With the nearest neighbours (Å) after each atom.
Fractional positions:
La 0.3742 0.8773 0.3742  6 La 3.09-3.13
La 0.8773 0.3742 0.3742  6 La 3.09-3.13
La 0.3742 0.3742 0.8773  6 La 3.09-3.13
La 0.3742 0.3742 0.3742  6 La 3.09-3.13
Pt 0.7500 0.7500 0.7500  12 La 3.65, 4 Se 3.81
Se 0.0000 0.0000 0.0000  12 La 3.65, 4 Pt 3.81

# AlZn2Re

A relaxed structure of AlZn2Re (PBE, Alexandria).

Summary:
size of the total moment = 0.0 μB per cell
electronic total energy = -4.59 eV per atom
N(E_F) = 0.99 states/eV per atom

abc: 8.7804 8.7804 8.7804
angles: 18.53 18.53 18.53
With the nearest neighbours (Å) after each atom.
Fractional positions:
Re 0.7509 0.7509 0.7509  3 Al 2.69, 3 Zn 2.74, 6 Re 2.83
Zn 0.9994 0.9994 0.9994  9 Zn 2.70-2.83, 3 Re 2.74
Zn 0.2497 0.2497 0.2497  9 Zn 2.70-2.83, 3 Al 2.70
Al 0.5000 0.5000 0.5000  3 Re 2.69, 3 Zn 2.70, 6 Al 2.83